(1)
DFT (PBE) results for crystalline Mo5H3S12 at its relaxed geometry.

a b c (Å): 13.1894 13.1894 13.1894
angles (deg): 109.47 109.47 109.47
Last column: nearest neighbours and their distance in Å.
Positions (direct):
H 0.7500 0.3750 0.1250  8 S 3.01-3.11
H 0.8750 0.7500 0.1250  8 S 3.01-3.11
H 0.3750 0.7500 0.6250  8 S 3.01-3.11
H 0.2500 0.1250 0.3750  8 S 3.01-3.11
H 0.8750 0.1250 0.2500  8 S 3.01-3.11
H 0.3750 0.6250 0.2500  8 S 3.01-3.11
H 0.6250 0.3750 0.7500  8 S 3.01-3.11
H 0.1250 0.8750 0.7500  8 S 3.01-3.11
H 0.7500 0.8750 0.6250  8 S 3.01-3.11
H 0.6250 0.2500 0.3750  8 S 3.01-3.11
H 0.1250 0.2500 0.8750  8 S 3.01-3.11
H 0.2500 0.6250 0.8750  8 S 3.01-3.11
Mo 0.1250 0.3750 0.2500  4 S 2.22
Mo 0.0000 0.5000 0.0000  6 S 2.41
Mo 0.0000 0.0000 0.0000  6 S 2.41
Mo 0.3750 0.2500 0.1250  4 S 2.22
Mo 0.5000 0.0000 0.5000  6 S 2.41
Mo 0.5000 0.5000 0.0000  6 S 2.41
Mo 0.1250 0.7500 0.3750  4 S 2.22
Mo 0.7500 0.1250 0.8750  4 S 2.22
Mo 0.7500 0.6250 0.3750  4 S 2.22
Mo 0.3750 0.1250 0.7500  4 S 2.22
Mo 0.6250 0.8750 0.2500  4 S 2.22
Mo 0.5000 0.5000 0.5000  6 S 2.41
Mo 0.5000 0.0000 0.0000  6 S 2.41
Mo 0.0000 0.0000 0.5000  6 S 2.41
Mo 0.2500 0.3750 0.6250  4 S 2.22
Mo 0.2500 0.8750 0.1250  4 S 2.22
Mo 0.0000 0.5000 0.5000  6 S 2.41
Mo 0.8750 0.2500 0.6250  4 S 2.22
Mo 0.6250 0.7500 0.8750  4 S 2.22
Mo 0.8750 0.6250 0.7500  4 S 2.22
S 0.6960 0.1105 0.0143  2 Mo 2.22-2.41
S 0.3182 0.5143 0.4037  2 Mo 2.22-2.41
S 0.9857 0.3895 0.3040  2 Mo 2.22-2.41
S 0.5143 0.1960 0.1105  2 Mo 2.22-2.41
S 0.5855 0.6960 0.6818  2 Mo 2.22-2.41
S 0.9857 0.5963 0.1818  2 Mo 2.22-2.41
S 0.3182 0.8040 0.4145  2 Mo 2.22-2.41
S 0.0963 0.9145 0.1105  2 Mo 2.22-2.41
S 0.5963 0.9857 0.6818  2 Mo 2.22-2.41
S 0.6960 0.5855 0.1818  2 Mo 2.22-2.41
S 0.8040 0.4857 0.3895  2 Mo 2.22-2.41
S 0.8182 0.9037 0.0143  2 Mo 2.22-2.41
S 0.1105 0.6960 0.5143  2 Mo 2.22-2.41
S 0.3895 0.4037 0.0855  2 Mo 2.22-2.41
S 0.0855 0.9037 0.3895  2 Mo 2.22-2.41
S 0.4145 0.1105 0.5963  2 Mo 2.22-2.41
S 0.0855 0.1818 0.1960  2 Mo 2.22-2.41
S 0.4857 0.6818 0.0963  2 Mo 2.22-2.41
S 0.8182 0.9145 0.3040  2 Mo 2.22-2.41
S 0.1105 0.4145 0.0963  2 Mo 2.22-2.41
S 0.3895 0.9857 0.8040  2 Mo 2.22-2.41
S 0.5963 0.6105 0.4145  2 Mo 2.22-2.41
S 0.9037 0.8182 0.5143  2 Mo 2.22-2.41
S 0.8040 0.3182 0.9145  2 Mo 2.22-2.41
S 0.4037 0.3895 0.5855  2 Mo 2.22-2.41
S 0.0963 0.1818 0.4857  2 Mo 2.22-2.41
S 0.1960 0.6818 0.0855  2 Mo 2.22-2.41
S 0.1818 0.0855 0.6960  2 Mo 2.22-2.41
S 0.6105 0.0143 0.1960  2 Mo 2.22-2.41
S 0.8895 0.5855 0.9037  2 Mo 2.22-2.41
S 0.5143 0.3182 0.9037  2 Mo 2.22-2.41
S 0.5855 0.8895 0.4037  2 Mo 2.22-2.41
S 0.9145 0.8182 0.8040  2 Mo 2.22-2.41
S 0.9145 0.0963 0.6105  2 Mo 2.22-2.41
S 0.8895 0.3040 0.4857  2 Mo 2.22-2.41
S 0.1818 0.0963 0.9857  2 Mo 2.22-2.41
S 0.6105 0.5963 0.9145  2 Mo 2.22-2.41
S 0.4037 0.0143 0.3182  2 Mo 2.22-2.41
S 0.3040 0.4145 0.8182  2 Mo 2.22-2.41
S 0.1960 0.5143 0.6105  2 Mo 2.22-2.41
S 0.9037 0.0855 0.8895  2 Mo 2.22-2.41
S 0.6818 0.1960 0.5855  2 Mo 2.22-2.41
S 0.4857 0.8040 0.8895  2 Mo 2.22-2.41
S 0.0143 0.4037 0.8182  2 Mo 2.22-2.41
S 0.4145 0.3040 0.3182  2 Mo 2.22-2.41
S 0.0143 0.6105 0.6960  2 Mo 2.22-2.41
S 0.6818 0.4857 0.5963  2 Mo 2.22-2.41
S 0.3040 0.8895 0.9857  2 Mo 2.22-2.41

Summary:
Final energy, eV per atom: -5.56
N(E_F), states/eV/atom: 0.583
V, Å³/atom: 22.078

---

(2)
DFT (PBE) results for crystalline TeIrC2 at its relaxed geometry.

a b c (Å): 5.1405 5.1405 5.9867
angles (deg): 64.58 64.58 90.00
Last column: nearest neighbours and their distance in Å.
Positions (direct):
C 0.6909 0.1250 0.2500  2 Ir 1.99
C 0.0591 0.6250 0.2500  2 Ir 1.99
C 0.3750 0.3091 0.7500  2 Ir 1.99
C 0.8750 0.9409 0.7500  2 Ir 1.99
Ir 0.0000 0.0000 0.0000  4 C 1.99
Ir 0.7500 0.2500 0.5000  4 C 1.99
Te 0.5000 0.5000 0.0000  4 C 2.39
Te 0.2500 0.7500 0.5000  4 C 2.39

Summary:
Final energy, eV per atom: -6.34
Energy relative to the elements, uncorrected, eV/atom: 1.27
N(E_F), states/eV/atom: 0.612
V, Å³/atom: 15.713

---

Which formula does entry 2 have? TeIrC2